DFT (GGA+U) results for crystalline Ba3NpMn2O9 at its relaxed geometry.

Geometry as POSCAR:
```
Ba3NpMn2O9
1.0
5.8786 0.0000 0.0000
-2.9393 5.0910 0.0000
0.0000 0.0000 7.2809
Ba Np Mn O
3 1 2 9
Direct
0.0000 0.0000 0.0000
0.3333 0.6667 0.6876
0.6667 0.3333 0.3124
0.0000 0.0000 0.5000
0.3333 0.6667 0.1521
0.6667 0.3333 0.8479
0.0000 0.5000 0.0000
0.1653 0.3307 0.3347
0.1653 0.8347 0.3347
0.3307 0.1653 0.6653
0.5000 0.0000 0.0000
0.5000 0.5000 0.0000
0.6693 0.8347 0.3347
0.8347 0.1653 0.6653
0.8347 0.6693 0.6653
```

Properties
Calculated total energy in eV per atom: -7.7211
V in Å³/atom: 14.5
Density of states at the Fermi level in states/eV/cell: 4.7